## YTm2C (GGA-PBE)

Data for an optimized crystal structure of YTm2C.

energy relative to the elements: -0.117 eV/atom

abc: 3.4987 3.4987 28.5257
angles: 90.00 90.00 120.00
Space group R-3m (No. 166, hexagonal axes)
Inequivalent atoms, fractional coordinates:
Y  0.0000  0.0000  0.0000 [3 per cell]
Tm  0.0000  0.0000  0.1205 [6 per cell]
C  0.0000  0.0000  0.5000 [3 per cell]

***

## Y3TmC (GGA-PBE)

Data for an optimized crystal structure of Y3TmC.

energy relative to the elements: -0.026 eV/atom

abc: 5.061 5.061 5.061
angles: 90.00 90.00 90.00
Space group Pm-3m (No. 221)
Inequivalent atoms, fractional coordinates:
Y  0.000  0.000  0.500 [3 per cell]
Tm  0.500  0.500  0.500 [1 per cell]
C  0.000  0.000  0.000 [1 per cell]

***

## Y2TmC2 (GGA-PBE)

Data for an optimized crystal structure of Y2TmC2.

energy relative to the elements: -0.239 eV/atom

abc: 11.488 5.091 7.281
angles: 90.00 110.15 90.00
Space group C2/m (No. 12)
Inequivalent atoms, fractional coordinates:
Y  0.008  0.000  0.231 [4 per cell]
Y  0.163  0.500  0.071 [4 per cell]
Tm  0.154  0.500  0.597 [4 per cell]
C  0.003  0.500  0.265 [4 per cell]
C  0.170  0.000  0.093 [4 per cell]

***

## YTmC (GGA-PBE)

Data for an optimized crystal structure of YTmC.

energy relative to the elements: -0.317 eV/atom
energy above the most stable polymorph in this dataset: 0 meV/atom

abc: 12.295 3.579 6.194
angles: 90.00 99.52 90.00
Space group C2/m (No. 12)
Inequivalent atoms, fractional coordinates:
Y  0.112  0.000  0.370 [4 per cell]
Tm  0.108  0.500  0.869 [4 per cell]
C  0.000  0.000  0.000 [2 per cell]
C  0.000  0.500  0.500 [2 per cell]

***

How do the records compare in total energy? In the order shown, they have -6.27, -6.64, -7.41, -7.04 eV per atom.